DFT (PBE) results for crystalline Pm2Be4Si3Pt at its relaxed geometry.

POSCAR file:
```
Pm2Be4Si3Pt
1.0
-1.248 1.700 -3.292
-3.580 0.341 1.533
2.417 8.878 3.668
Pt Pm Si Be
1 2 3 4
direct
0.500 0.500 0.500 Pt
0.000 0.500 0.757 Pm
0.500 0.000 0.243 Pm
0.000 0.500 0.130 Si
0.000 0.000 0.500 Si
0.500 0.000 0.870 Si
0.000 0.500 0.367 Be
0.500 0.500 0.000 Be
0.000 0.000 0.000 Be
0.500 0.000 0.633 Be
```

Values from the calculation:
Crystal system = tetragonal
Space group = P-4m2, No. 115
Formation energy (no corrections) = -577 meV/atom

DFT (PBE) results for crystalline Pm3Sm8Y4 at its relaxed geometry.

POSCAR file:
```
Pm3Sm8Y4
1.0
-3.926 4.939 2.864
0.455 -7.509 5.386
8.862 0.834 2.525
Sm Y Pm
8 4 3
direct
0.189 0.703 0.703 Sm
0.000 0.297 0.703 Sm
0.730 0.752 0.752 Sm
0.500 0.249 0.751 Sm
0.270 0.248 0.248 Sm
0.000 0.703 0.297 Sm
0.811 0.297 0.297 Sm
0.500 0.751 0.249 Sm
0.500 0.000 0.000 Y
0.000 0.000 0.000 Y
0.000 0.000 0.500 Y
0.000 0.500 0.000 Y
0.500 0.000 0.500 Pm
0.500 0.500 0.500 Pm
0.500 0.500 0.000 Pm
```

Values from the calculation:
Crystal system = monoclinic
Space group = C2/m, No. 12
Energy of formation from the pure elements = 488 kJ/mol of formula units

DFT (PBE) results for crystalline NbNiGeC2 at its relaxed geometry.

POSCAR file:
```
NbNiGeC2
1.0
3.707 0.000 0.000
0.000 4.880 0.000
0.000 0.000 3.707
Ni Ge C Nb
1 1 2 1
direct
0.000 0.000 0.000 Ni
0.000 0.500 0.000 Ge
0.000 0.000 0.500 C
0.500 0.000 0.000 C
0.500 0.500 0.500 Nb
```

Values from the calculation:
Crystal system = tetragonal
Space group = P4/mmm, No. 123
Energy of formation from the pure elements = 736 kJ/mol of formula units

DFT (PBE) results for crystalline InNiMo2 at its relaxed geometry.

POSCAR file:
```
InNiMo2
1.0
5.147 -0.009 0.000
2.383 4.562 0.000
-3.765 -2.276 2.671
Ni Mo In
1 2 1
direct
0.250 0.750 0.500 Ni
0.500 0.500 0.000 Mo
0.000 0.000 0.000 Mo
0.750 0.250 0.500 In
```

Values from the calculation:
Crystal system = tetragonal
Space group = I4/mmm, No. 139
Energy of formation from the pure elements = 57 kJ/mol of formula units

DFT (PBE) results for crystalline TbTlBr4 at its relaxed geometry.

POSCAR file:
```
TbTlBr4
1.0
-0.125 3.639 -2.279
-4.075 -4.832 -3.436
-5.448 3.275 5.531
Br Tl Tb
4 1 1
direct
0.120 0.239 0.311 Br
0.383 0.767 0.092 Br
0.880 0.761 0.689 Br
0.617 0.233 0.908 Br
0.500 0.000 0.500 Tl
0.000 0.000 0.000 Tb
```

Values from the calculation:
Crystal system = monoclinic
Space group = C2/m, No. 12
Formation energy (no corrections) = -1529 meV/atom

DFT (PBE) results for crystalline La4TlSnO at its relaxed geometry.

POSCAR file:
```
La4TlSnO
1.0
-5.180 1.868 4.203
0.305 -6.174 3.119
8.409 2.259 3.651
La Tl Sn O
8 2 2 2
direct
0.076 0.750 0.152 La
0.500 0.000 0.500 La
0.427 0.750 0.855 La
0.000 0.500 0.500 La
0.000 0.000 0.500 La
0.573 0.250 0.145 La
0.924 0.250 0.848 La
0.500 0.500 0.500 La
0.612 0.750 0.223 Tl
0.388 0.250 0.777 Tl
0.112 0.250 0.223 Sn
0.888 0.750 0.777 Sn
0.244 0.750 0.489 O
0.756 0.250 0.511 O
```

Values from the calculation:
Crystal system = orthorhombic
Space group = Cmcm, No. 63
Formation energy (no corrections) = -1185 meV/atom

DFT (PBE) results for crystalline Pa2Tl3O5F2 at its relaxed geometry.

POSCAR file:
```
Pa2Tl3O5F2
1.0
4.335 0.000 0.000
0.000 4.335 0.000
-2.168 -2.168 12.989
F Tl Pa O
2 3 2 5
direct
0.672 0.672 0.344 F
0.328 0.328 0.656 F
0.227 0.227 0.453 Tl
0.000 0.000 0.000 Tl
0.773 0.773 0.547 Tl
0.585 0.585 0.170 Pa
0.415 0.415 0.830 Pa
0.585 0.085 0.170 O
0.415 0.915 0.830 O
0.915 0.415 0.830 O
0.085 0.585 0.170 O
0.500 0.500 0.000 O
```

Values from the calculation:
Crystal system = tetragonal
Space group = I4/mmm, No. 139
Formation energy (no corrections) = -2616 meV/atom

DFT (PBE) results for crystalline PmTiO at its relaxed geometry.

POSCAR file:
```
PmTiO
1.0
-2.579 0.172 -1.972
-0.184 -1.684 2.774
-3.512 9.283 5.404
Ti Pm O
2 2 2
direct
0.612 0.223 0.393 Ti
0.612 0.223 0.607 Ti
0.277 0.554 0.146 Pm
0.277 0.554 0.854 Pm
0.610 0.221 0.000 O
0.278 0.557 0.500 O
```

Values from the calculation:
Crystal system = orthorhombic
Space group = Amm2, No. 38
Formation energy (no corrections) = -1314 meV/atom

DFT (PBE) results for crystalline AcSm2HoTm at its relaxed geometry.

POSCAR file:
```
AcSm2HoTm
1.0
5.850 0.000 0.000
0.000 9.837 -0.038
0.000 -2.102 6.046
Sm Ho Tm Ac
4 2 2 2
direct
0.750 0.699 0.432 Sm
0.250 0.301 0.568 Sm
0.750 0.497 0.836 Sm
0.250 0.503 0.164 Sm
0.250 0.894 0.372 Ho
0.750 0.106 0.628 Ho
0.250 0.689 0.756 Tm
0.750 0.311 0.244 Tm
0.250 0.106 0.969 Ac
0.750 0.894 0.031 Ac
```

Values from the calculation:
Crystal system = monoclinic
Space group = P2_1/m, No. 11
Energy of formation from the pure elements = 22 kJ/mol of formula units

DFT (PBE) results for crystalline CsNa3Ru at its relaxed geometry.

POSCAR file:
```
CsNa3Ru
1.0
5.815 0.000 0.000
0.000 5.815 0.000
0.000 0.000 5.815
Na Cs Ru
3 1 1
direct
0.500 0.000 0.000 Na
0.000 0.000 0.500 Na
0.000 0.500 0.000 Na
0.500 0.500 0.500 Cs
0.000 0.000 0.000 Ru
```

Values from the calculation:
Crystal system = cubic
Space group = Pm-3m, No. 221
Energy of formation from the pure elements = 378 kJ/mol of formula units

DFT (PBE) results for crystalline RbAu at its relaxed geometry.

POSCAR file:
```
RbAu
1.0
6.874 0.000 0.000
0.000 6.221 -1.401
0.000 -0.961 13.648
Rb Au
8 8
direct
0.924 0.630 0.823 Rb
0.682 0.230 0.968 Rb
0.182 0.270 0.532 Rb
0.318 0.770 0.032 Rb
0.424 0.870 0.677 Rb
0.818 0.730 0.468 Rb
0.576 0.130 0.323 Rb
0.076 0.370 0.177 Rb
0.923 0.066 0.717 Au
0.423 0.434 0.783 Au
0.318 0.695 0.397 Au
0.077 0.934 0.283 Au
0.577 0.566 0.217 Au
0.818 0.805 0.103 Au
0.182 0.195 0.897 Au
0.682 0.305 0.603 Au
```

Values from the calculation:
Crystal system = monoclinic
Space group = P2_1/c, No. 14
Energy of formation from the pure elements = -53 kJ/mol of formula units

DFT (PBE) results for crystalline La2Se2S at its relaxed geometry.

POSCAR file:
```
La2Se2S
1.0
5.921 0.000 -2.546
-1.493 6.876 -3.472
-0.197 -0.631 7.701
Se La S
4 4 2
direct
0.143 0.279 0.286 Se
0.857 0.721 0.714 Se
0.357 0.993 0.714 Se
0.643 0.007 0.286 Se
0.390 0.637 0.780 La
0.610 0.363 0.220 La
0.890 0.143 0.780 La
0.110 0.857 0.220 La
0.250 0.500 0.000 S
0.750 0.500 0.000 S
```

Values from the calculation:
Crystal system = orthorhombic
Space group = Ibam, No. 72
Formation energy (no corrections) = -2023 meV/atom
Excess energy over the best structure of this formula in the dataset = 0.08 eV per formula unit

DFT (PBE) results for crystalline WI2Br at its relaxed geometry.

POSCAR file:
```
WI2Br
1.0
0.000 3.724 3.724
3.724 0.000 3.724
3.724 3.724 0.000
I Br W
2 1 1
direct
0.750 0.750 0.750 I
0.250 0.250 0.250 I
0.000 0.000 0.000 Br
0.500 0.500 0.500 W
```

Values from the calculation:
Crystal system = cubic
Space group = Fm-3m, No. 225
Formation energy (no corrections) = 1094 meV/atom
Excess energy over the best structure of this formula in the dataset = 1.65 eV per formula unit

DFT (PBE) results for crystalline Sr3Ni4P4 at its relaxed geometry.

POSCAR file:
```
Sr3Ni4P4
1.0
-3.352 0.489 -2.563
1.043 -3.310 -1.997
-7.550 -7.737 4.879
P Sr Ni
4 3 4
direct
0.301 0.801 0.398 P
0.553 0.553 0.895 P
0.447 0.447 0.105 P
0.699 0.199 0.602 P
0.851 0.351 0.297 Sr
0.149 0.649 0.703 Sr
0.000 0.000 0.000 Sr
0.599 0.099 0.802 Ni
0.249 0.249 0.500 Ni
0.751 0.751 0.500 Ni
0.401 0.901 0.198 Ni
```

Values from the calculation:
Crystal system = triclinic
Space group = P-1, No. 2
Energy of formation from the pure elements = -843 kJ/mol of formula units

DFT (PBE) results for crystalline ErAgPb at its relaxed geometry.

POSCAR file:
```
ErAgPb
1.0
3.497 0.000 0.000
0.000 4.917 0.000
0.000 -2.458 4.258
Ag Er Pb
1 1 1
direct
0.145 0.000 0.000 Ag
0.665 0.667 0.333 Er
0.190 0.333 0.667 Pb
```

Values from the calculation:
Crystal system = trigonal
Space group = P3m1, No. 156
Energy of formation from the pure elements = -85 kJ/mol of formula units

DFT (PBE) results for crystalline PaTiNbPd at its relaxed geometry.

POSCAR file:
```
PaTiNbPd
1.0
-1.033 -4.643 0.167
2.079 -2.785 3.252
-2.550 -1.742 3.622
Pd Pa Ti Nb
1 1 1 1
direct
0.750 0.750 0.750 Pd
0.500 0.500 0.500 Pa
0.000 0.000 0.000 Ti
0.250 0.250 0.250 Nb
```

Values from the calculation:
Crystal system = cubic
Space group = F-43m, No. 216
Energy of formation from the pure elements = -77 kJ/mol of formula units

DFT (PBE) results for crystalline CdHg4Pt at its relaxed geometry.

POSCAR file:
```
CdHg4Pt
1.0
-2.137 -5.077 -1.697
-2.806 -3.347 3.760
-5.700 -0.715 -0.473
Hg Cd Pt
4 1 1
direct
0.375 0.375 0.375 Hg
0.375 0.874 0.375 Hg
0.375 0.375 0.874 Hg
0.874 0.375 0.375 Hg
0.000 0.000 0.000 Cd
0.750 0.750 0.750 Pt
```

Values from the calculation:
Crystal system = cubic
Space group = F-43m, No. 216
Energy of formation from the pure elements = 234 kJ/mol of formula units

DFT (PBE) results for crystalline NpTiCr at its relaxed geometry.

POSCAR file:
```
NpTiCr
1.0
-4.864 0.426 1.900
-1.911 -3.714 3.162
2.042 4.915 11.349
Ti Np Cr
6 6 6
direct
0.182 0.182 0.454 Ti
0.037 0.037 0.890 Ti
0.818 0.818 0.546 Ti
0.273 0.273 0.182 Ti
0.963 0.963 0.110 Ti
0.727 0.727 0.818 Ti
0.265 0.265 0.674 Np
0.265 0.796 0.674 Np
0.796 0.265 0.674 Np
0.735 0.735 0.326 Np
0.204 0.735 0.326 Np
0.735 0.204 0.326 Np
0.000 0.500 0.000 Cr
0.616 0.616 0.152 Cr
0.500 0.500 0.000 Cr
0.500 0.000 0.000 Cr
0.384 0.384 0.848 Cr
0.500 0.500 0.500 Cr
```

Values from the calculation:
Crystal system = trigonal
Space group = R-3m, No. 166
Energy of formation from the pure elements = 67 kJ/mol of formula units

DFT (PBE) results for crystalline Er3GaGe3 at its relaxed geometry.

POSCAR file:
```
Er3GaGe3
1.0
-5.177 -1.175 2.416
1.799 -8.243 -0.153
2.084 4.650 6.727
Ge Er Ga
6 6 2
direct
0.750 0.305 0.358 Ge
0.750 0.642 0.947 Ge
0.250 0.947 0.305 Ge
0.250 0.695 0.642 Ge
0.250 0.358 0.053 Ge
0.750 0.053 0.695 Ge
0.250 0.309 0.365 Er
0.750 0.691 0.635 Er
0.250 0.635 0.944 Er
0.750 0.365 0.056 Er
0.250 0.056 0.691 Er
0.750 0.944 0.309 Er
0.250 0.667 0.333 Ga
0.750 0.333 0.667 Ga
```

Values from the calculation:
Crystal system = hexagonal
Space group = P6_3/m, No. 176
Energy of formation from the pure elements = -380 kJ/mol of formula units

DFT (PBE) results for crystalline RbBaPuI6 at its relaxed geometry.

POSCAR file:
```
RbBaPuI6
1.0
-4.106 6.524 -2.158
-6.238 -4.593 -2.018
-5.560 1.246 14.347
I Rb Ba Pu
12 2 2 2
direct
0.180 0.820 0.181 I
0.224 0.776 0.842 I
0.807 0.193 0.477 I
0.776 0.224 0.842 I
0.680 0.680 0.681 I
0.320 0.320 0.681 I
0.276 0.276 0.342 I
0.307 0.307 0.977 I
0.193 0.807 0.477 I
0.724 0.724 0.342 I
0.820 0.180 0.181 I
0.693 0.693 0.977 I
0.500 0.500 0.167 Rb
0.000 0.000 0.667 Rb
0.000 0.000 0.999 Ba
0.500 0.500 0.499 Ba
0.500 0.500 0.833 Pu
0.000 0.000 0.333 Pu
```

Values from the calculation:
Crystal system = tetragonal
Space group = P4_2nm, No. 102
Formation energy (no corrections) = -1368 meV/atom

no.,final energy (eV/atom),M_tot (μB per cell)
1,-5.248,0.0
2,-4.853,0.0
3,-6.258,0.0
4,-7.397,0.0
5,-3.811,0.0
6,-5.619,0.8
7,-7.168,0.0
8,-7.182,0.0
9,-4.474,0.0
10,-2.034,1.1
11,-2.397,0.0
12,-6.213,0.0
13,-3.338,3.0
14,-5.323,0.0
15,-4.001,0.0
16,-8.363,0.0
17,-0.956,0.0
18,-9.921,0.0
19,-4.929,0.0
20,-4.315,10.0